[1]
VASP calculation (GGA-PBE) on a relaxed Ce4Tl2Si crystal.

Results
uncorrected formation energy = -0.16 eV/atom
relative energy among the computed polymorphs = 0.130 eV/f.u.

Cell: 5.2969 6.2312 6.2313 Å, 93.56 90.00 90.00°
Closest atoms and distances in Å follow each position.
Fractional coordinates of all 7 atoms:
Tl (0.5000, 0.8096, 0.4758)  1 Tl 3.03, 4 Ce 3.29-3.31
Ce (0.0000, 0.6432, 0.1438)  2 Si 3.11-3.12, 2 Tl 3.48
Ce (0.0000, 0.1437, 0.6433)  2 Si 3.11-3.12, 2 Tl 3.48
Si (0.0000, 0.1428, 0.1429)  8 Ce 2.97-3.12
Ce (0.5000, 0.9847, 0.9848)  1 Ce 2.69, 2 Si 2.97
Tl (0.5000, 0.4757, 0.8095)  1 Tl 3.03, 4 Ce 3.29-3.31
Ce (0.5000, 0.3001, 0.3000)  1 Ce 2.69, 2 Si 2.97

=====

[2]
VASP calculation (GGA-PBE) on a relaxed Cr2FePBr crystal.

Results
uncorrected formation energy = 1.12 eV/atom

Cell: 4.7714 4.2828 4.7714 Å, 90.00 90.00 90.00°
Closest atoms and distances in Å follow each position.
Fractional coordinates of all 5 atoms:
Fe (0.0000, 0.0000, 0.0000)  2 Br 2.14, 4 Cr 2.39
Cr (0.0000, 0.0000, 0.5000)  2 Fe 2.39
P (0.5000, 0.5000, 0.5000)  8 Cr 3.21, 4 Br 3.37
Cr (0.5000, 0.0000, 0.0000)  2 Fe 2.39
Br (0.0000, 0.5000, 0.0000)  2 Fe 2.14

=====

[3]
VASP calculation (GGA-PBE) on a relaxed DyPu2ScBi4 crystal.

Results
ΔH_f (0 K) = -535 meV per atom

Cell: 4.4575 7.7281 7.7182 Å, 109.46 90.00 90.00°
Closest atoms and distances in Å follow each position.
Fractional coordinates of all 8 atoms:
Pu (0.0000, 0.5000, 0.5000)  6 Bi 3.23
Pu (0.5000, 0.0000, 0.5000)  6 Bi 3.16
Bi (0.5000, 0.2389, 0.2375)  2 Sc 3.08, 1 Dy 3.15, 3 Pu 3.16-3.23
Bi (0.5000, 0.7611, 0.7625)  2 Sc 3.08, 1 Dy 3.15, 3 Pu 3.16-3.23
Sc (0.0000, 0.0000, 0.0000)  6 Bi 3.08
Bi (0.0000, 0.2456, 0.7576)  1 Sc 3.08, 2 Dy 3.14, 3 Pu 3.16-3.23
Bi (0.0000, 0.7544, 0.2424)  1 Sc 3.08, 2 Dy 3.14, 3 Pu 3.16-3.23
Dy (0.5000, 0.5000, 0.0000)  6 Bi 3.14-3.15

=====

[4]
VASP calculation (GGA-PBE) on a relaxed SrCdIN2 crystal.

Results
uncorrected formation energy = 1.06 eV/atom
relative energy among the computed polymorphs = 1.054 eV/f.u.

Cell: 5.0781 5.0781 6.7272 Å, 90.00 90.00 90.00°
Closest atoms and distances in Å follow each position.
Fractional coordinates of all 5 atoms:
N (0.0000, 0.5000, 0.0000)  2 Sr 2.54
I (0.0000, 0.0000, 0.5000)  2 Sr 3.36, 4 Cd 3.59
Cd (0.5000, 0.5000, 0.5000)  4 I 3.59
N (0.5000, 0.0000, 0.0000)  2 Sr 2.54
Sr (0.0000, 0.0000, 0.0000)  4 N 2.54

=====

[5]
VASP calculation (GGA-PBE) on a relaxed Hf2TiH3 crystal.

Results
electronic total energy = -6.575 eV per atom

Cell: 4.3799 6.2881 5.4012 Å, 106.11 113.92 90.00°
Closest atoms and distances in Å follow each position.
Fractional coordinates of all 12 atoms:
H (0.4992, 0.2500, 0.0000)  2 Ti 2.19, 4 Hf 2.19-2.23
Hf (0.3349, 0.4175, 0.6698)  6 H 2.19-2.32
H (0.1575, 0.0777, 0.3150)  2 Ti 2.15-2.17, 4 Hf 2.19-2.32
Hf (0.6651, 0.5825, 0.3302)  6 H 2.19-2.32
Hf (0.3349, 0.9175, 0.6698)  6 H 2.19-2.32
H (0.5008, 0.7500, 0.0000)  2 Ti 2.19, 4 Hf 2.19-2.23
H (0.8426, 0.4223, 0.6850)  2 Ti 2.15-2.17, 4 Hf 2.19-2.32
H (0.8425, 0.9223, 0.6850)  2 Ti 2.15-2.17, 4 Hf 2.19-2.32
Ti (0.0002, 0.2500, 0.0000)  6 H 2.15-2.19
Ti (0.9998, 0.7500, 0.0000)  6 H 2.15-2.19
Hf (0.6651, 0.0825, 0.3302)  6 H 2.19-2.32
H (0.1574, 0.5777, 0.3150)  2 Ti 2.15-2.17, 4 Hf 2.19-2.32

=====

[6]
VASP calculation (GGA-PBE) on a relaxed Dy5Y2Ho4 crystal.

Results
relative energy among the computed polymorphs = 0.355 eV/f.u.
ΔH_f (0 K) = 171 meV per atom

Cell: 6.6148 8.8805 10.1345 Å, 40.00 70.95 68.13°
Closest atoms and distances in Å follow each position.
Fractional coordinates of all 11 atoms:
Dy (0.3505, 0.7270, 0.0972)  4 Dy 3.14-3.47, 2 Ho 3.25-3.41, 1 Y 3.43
Ho (0.7552, 0.6729, 0.8166)  4 Dy 3.25-3.41, 4 Y 3.33-3.55, 1 Ho 3.33
Dy (0.6495, 0.2730, 0.9028)  4 Dy 3.14-3.47, 2 Ho 3.25-3.41, 1 Y 3.43
Dy (0.0000, 0.5000, 0.5000)  4 Dy 3.29
Ho (0.2448, 0.3271, 0.1834)  4 Dy 3.25-3.41, 4 Y 3.33-3.55, 1 Ho 3.33
Dy (0.1747, 0.2730, 0.9028)  4 Dy 3.14-3.47, 2 Ho 3.25-3.41, 1 Y 3.43
Ho (0.5890, 0.2263, 0.5958)  2 Ho 3.33-3.40, 8 Dy 3.60-3.72, 1 Y 3.64
Y (0.2012, 0.9025, 0.6952)  5 Ho 3.33-3.64, 2 Dy 3.43
Ho (0.4110, 0.7737, 0.4042)  2 Ho 3.33-3.40, 8 Dy 3.60-3.72, 1 Y 3.64
Y (0.7988, 0.0975, 0.3048)  5 Ho 3.33-3.64, 2 Dy 3.43
Dy (0.8253, 0.7270, 0.0972)  4 Dy 3.14-3.47, 2 Ho 3.25-3.41, 1 Y 3.43

=====

[7]
VASP calculation (GGA-PBE) on a relaxed Pm2Ga3Ni12Pt crystal.

Results
ΔH_f (0 K) = -58 meV per atom

Cell: 6.3980 6.3980 6.3980 Å, 84.54 84.54 84.54°
Closest atoms and distances in Å follow each position.
Fractional coordinates of all 18 atoms:
Ni (0.5957, 0.1258, 0.5957)  4 Ni 2.32-2.59
Ni (0.1258, 0.5957, 0.5957)  4 Ni 2.32-2.59
Pt (0.0000, 0.0000, 0.0000)  6 Ni 2.45
Pm (0.3136, 0.3136, 0.3136)  9 Ni 2.65-2.83
Ni (0.4043, 0.8742, 0.4043)  4 Ni 2.32-2.59
Ga (0.0000, 0.0000, 0.5000)  6 Ni 2.46-2.67
Ni (0.8017, 0.2861, 0.8017)  5 Ni 2.32-2.59, 1 Pt 2.45, 1 Ga 2.46
Ga (0.5000, 0.0000, 0.0000)  6 Ni 2.46-2.67
Pm (0.6864, 0.6864, 0.6864)  9 Ni 2.65-2.83
Ni (0.1983, 0.1983, 0.7139)  5 Ni 2.32-2.59, 1 Pt 2.45, 1 Ga 2.46
Ni (0.7139, 0.1983, 0.1983)  5 Ni 2.32-2.59, 1 Pt 2.45, 1 Ga 2.46
Ga (0.0000, 0.5000, 0.0000)  6 Ni 2.46-2.67
Ni (0.8742, 0.4043, 0.4043)  4 Ni 2.32-2.59
Ni (0.1983, 0.7139, 0.1983)  5 Ni 2.32-2.59, 1 Pt 2.45, 1 Ga 2.46
Ni (0.2861, 0.8017, 0.8017)  5 Ni 2.32-2.59, 1 Pt 2.45, 1 Ga 2.46
Ni (0.5957, 0.5957, 0.1258)  4 Ni 2.32-2.59
Ni (0.8017, 0.8017, 0.2861)  5 Ni 2.32-2.59, 1 Pt 2.45, 1 Ga 2.46
Ni (0.4043, 0.4043, 0.8742)  4 Ni 2.32-2.59

=====

[8]
VASP calculation (GGA-PBE) on a relaxed Pr2TlCl8 crystal.

Results
uncorrected formation energy = -1.80 eV/atom
relative energy among the computed polymorphs = 0.298 eV/f.u.

Cell: 7.1926 7.2458 7.2458 Å, 75.70 79.50 79.50°
Closest atoms and distances in Å follow each position.
Fractional coordinates of all 11 atoms:
Cl (0.2566, 0.5611, 0.5611)  2 Pr 2.79-2.80
Cl (0.1610, 0.1943, 0.1943)  1 Tl 2.73, 1 Pr 2.76
Tl (0.0000, 0.0000, 0.0000)  6 Cl 2.73-3.02
Cl (0.3198, 0.6667, 0.0498)  2 Pr 2.87-2.89, 1 Tl 3.02
Cl (0.6802, 0.3333, 0.9502)  2 Pr 2.87-2.89, 1 Tl 3.02
Cl (0.6802, 0.9502, 0.3333)  2 Pr 2.87-2.89, 1 Tl 3.02
Cl (0.7434, 0.4389, 0.4389)  2 Pr 2.79-2.80
Cl (0.8390, 0.8057, 0.8057)  1 Tl 2.73, 1 Pr 2.76
Pr (0.4468, 0.3185, 0.3185)  7 Cl 2.76-2.89
Pr (0.5532, 0.6815, 0.6815)  7 Cl 2.76-2.89
Cl (0.3198, 0.0498, 0.6667)  2 Pr 2.87-2.89, 1 Tl 3.02

=====

[9]
VASP calculation (GGA-PBE) on a relaxed TaTi4Sn2 crystal.

Results
ΔH_f (0 K) = -45 meV per atom

Cell: 7.7983 5.3994 7.5987 Å, 90.00 123.38 90.00°
Closest atoms and distances in Å follow each position.
Fractional coordinates of all 14 atoms:
Ti (0.4487, 0.9996, 0.7789)  3 Ti 2.70-2.99, 1 Ta 2.77, 3 Sn 2.84-2.97
Sn (0.3166, 0.2500, 0.3650)  3 Ta 2.80-2.88, 6 Ti 2.82-3.04
Ti (0.5513, 0.0004, 0.2211)  3 Ti 2.70-2.99, 1 Ta 2.77, 3 Sn 2.84-2.97
Ti (0.0225, 0.7500, 0.5949)  3 Ti 2.72-2.99, 2 Sn 2.82-2.94, 1 Ta 2.83
Sn (0.1834, 0.2500, 0.8661)  1 Ta 2.77, 8 Ti 2.84-3.04
Sn (0.8166, 0.7500, 0.1339)  1 Ta 2.77, 8 Ti 2.84-3.04
Ti (0.8838, 0.2500, 0.0037)  1 Ta 2.63, 1 Ti 2.72
Ta (0.2414, 0.7500, 0.3967)  4 Ti 2.63-2.83, 4 Sn 2.77-2.88
Ta (0.7586, 0.2500, 0.6033)  4 Ti 2.63-2.83, 4 Sn 2.77-2.88
Ti (0.4487, 0.5004, 0.7789)  3 Ti 2.70-2.99, 1 Ta 2.77, 3 Sn 2.84-2.97
Ti (0.1162, 0.7500, 0.9963)  1 Ta 2.63, 1 Ti 2.72
Ti (0.9775, 0.2500, 0.4051)  3 Ti 2.72-2.99, 2 Sn 2.82-2.94, 1 Ta 2.83
Sn (0.6834, 0.7500, 0.6350)  3 Ta 2.80-2.88, 6 Ti 2.82-3.04
Ti (0.5513, 0.4996, 0.2211)  3 Ti 2.70-2.99, 1 Ta 2.77, 3 Sn 2.84-2.97

=====

[10]
VASP calculation (GGA-PBE) on a relaxed LiTlNi2 crystal.

Results
ΔH_f (0 K) = 330 meV per atom

Cell: 3.7003 3.7003 9.3498 Å, 78.59 78.59 90.00°
Closest atoms and distances in Å follow each position.
Fractional coordinates of all 8 atoms:
Li (0.5000, 0.5000, 0.0000)  4 Ni 2.56, 4 Tl 2.62
Ni (0.1543, 0.6250, 0.2500)  2 Ni 2.47, 2 Li 2.56, 2 Tl 2.64
Ni (0.5957, 0.1250, 0.2500)  2 Ni 2.47, 2 Li 2.56, 2 Tl 2.64
Li (0.2500, 0.7500, 0.5000)  4 Ni 2.56, 4 Tl 2.62
Ni (0.8750, 0.8457, 0.7500)  2 Ni 2.47, 2 Li 2.56, 2 Tl 2.64
Ni (0.3750, 0.4043, 0.7500)  2 Ni 2.47, 2 Li 2.56, 2 Tl 2.64
Tl (0.7500, 0.2500, 0.5000)  4 Li 2.62, 4 Ni 2.64
Tl (0.0000, 0.0000, 0.0000)  4 Li 2.62, 4 Ni 2.64

=====

[11]
VASP calculation (GGA-PBE) on a relaxed SrSc2Cr crystal.

Results
relative energy among the computed polymorphs = 1.182 eV/f.u.
ΔH_f (0 K) = 591 meV per atom

Cell: 10.7077 10.7077 10.7077 Å, 18.45 18.45 18.45°
Closest atoms and distances in Å follow each position.
Fractional coordinates of all 4 atoms:
Sr (0.4927, 0.4927, 0.4927)  3 Cr 3.33, 6 Sr 3.43, 3 Sc 3.72
Cr (0.7411, 0.7411, 0.7411)  3 Sc 2.91
Sc (0.2592, 0.2592, 0.2592)  9 Sc 3.24-3.43
Sc (0.0070, 0.0070, 0.0070)  3 Cr 2.91, 3 Sc 3.24

=====

[12]
VASP calculation (GGA-PBE) on a relaxed NpSbH2 crystal.

Results
relative energy among the computed polymorphs = 0.059 eV/f.u.

Cell: 3.6334 6.0198 6.0064 Å, 90.00 90.00 107.56°
Closest atoms and distances in Å follow each position.
Fractional coordinates of all 8 atoms:
Sb (0.9459, 0.8918, 0.2500)  6 H 2.98-3.22, 3 Np 3.11-3.19, 2 Sb 3.25
H (0.6839, 0.3678, 0.0565)  3 Np 2.16-2.19, 1 H 2.32
H (0.3161, 0.6322, 0.9435)  3 Np 2.16-2.19, 1 H 2.32
H (0.6839, 0.3678, 0.4435)  3 Np 2.16-2.19, 1 H 2.32
Np (0.7828, 0.5656, 0.7500)  6 H 2.16-2.19
Np (0.2172, 0.4344, 0.2500)  6 H 2.16-2.19
H (0.3161, 0.6322, 0.5565)  3 Np 2.16-2.19, 1 H 2.32
Sb (0.0541, 0.1082, 0.7500)  6 H 2.98-3.22, 3 Np 3.11-3.19, 2 Sb 3.25

=====

Summary of density of states at the Fermi level in states/eV/atom
3.0965; 1.0877; 3.7972; 0.8540; 0.7681; 1.6161; 1.1776; 0.4340; 1.1397; 0.9107; 1.7302; 1.5684
(order as listed above)